No. 1
This record from the Alexandria database describes a geometry-optimized Sm2Dy5Th5 structure. The functional is PBE.

abc: 7.9847 7.9847 11.3155
angles: 115.12 115.12 36.84
Closest atoms and distances in Å follow each position.
Positions (direct):
Sm (0.0836, 0.0836, 0.2494)  7 Dy 3.55-3.61, 5 Th 3.58-3.61
Sm (0.9164, 0.9164, 0.7506)  7 Dy 3.55-3.61, 5 Th 3.58-3.61
Dy (0.3324, 0.3324, 0.4955)  4 Dy 3.50-3.61, 3 Sm 3.55-3.61, 5 Th 3.56-3.66
Dy (0.4148, 0.4148, 0.2517)  3 Dy 3.50-3.62, 7 Th 3.52-3.60, 2 Sm 3.60
Dy (0.5000, 0.5000, 0.0000)  4 Sm 3.57, 6 Th 3.58-3.60, 2 Dy 3.62
Dy (0.5852, 0.5852, 0.7483)  3 Dy 3.50-3.62, 7 Th 3.52-3.60, 2 Sm 3.60
Dy (0.6676, 0.6676, 0.5045)  4 Dy 3.50-3.61, 3 Sm 3.55-3.61, 5 Th 3.56-3.66
Th (0.0000, 0.0000, 0.5000)  8 Dy 3.56, 2 Th 3.57, 2 Sm 3.59
Th (0.1699, 0.1699, 0.0017)  5 Th 3.51-3.54, 5 Dy 3.52-3.60, 2 Sm 3.58-3.61
Th (0.2486, 0.2486, 0.7529)  4 Th 3.52-3.57, 6 Dy 3.52-3.66, 2 Sm 3.59
Th (0.7514, 0.7514, 0.2471)  4 Th 3.52-3.57, 6 Dy 3.52-3.66, 2 Sm 3.59
Th (0.8301, 0.8301, 0.9983)  5 Th 3.51-3.54, 5 Dy 3.52-3.60, 2 Sm 3.58-3.61

Results
Formation energy from the elements = 4.6 kJ per mole of atoms
Space-group type = C2/m, No. 12
Energy = -5.7475 eV per atom
Crystal system = monoclinic
N(E_F) = 17.82 states/eV/f.u.



No. 2
This record from the Alexandria database describes a geometry-optimized Ac5TeS4 structure. The functional is PBE.

abc: 11.6859 11.6859 11.6859
angles: 158.54 148.90 38.10
Closest atoms and distances in Å follow each position.
Positions (direct):
Ac (0.0000, 0.0000, 0.0000)  4 S 3.11, 2 Te 3.13
Ac (0.1987, 0.1987, 0.0000)  6 S 3.04-3.14
Ac (0.3888, 0.3888, 0.0000)  4 S 3.01-3.14, 2 Te 3.28
Ac (0.6112, 0.6112, 0.0000)  4 S 3.01-3.14, 2 Te 3.28
Ac (0.8013, 0.8013, 0.0000)  6 S 3.04-3.14
Te (0.5000, 0.0000, 0.5000)  6 Ac 3.13-3.28
S (0.1004, 0.6004, 0.5000)  6 Ac 3.07-3.14
S (0.2947, 0.7947, 0.5000)  6 Ac 3.01-3.14
S (0.7053, 0.2053, 0.5000)  6 Ac 3.01-3.14
S (0.8996, 0.3996, 0.5000)  6 Ac 3.07-3.14

Results
Formation energy from raw total energies = -1.854 eV/atom
Space-group type = Immm, No. 71
Energy = -5.8737 eV per atom
Crystal system = orthorhombic
N(E_F) = 6.49 states/eV/f.u.